# 1
## Li2CdCo (PBE)

Data for Li2CdCo after structural relaxation.

The calculation puts the formation energy at 0.116 eV/atom.

It has space group P2/m (No. 10), with a = 2.724 Å, b = 4.535 Å, c = 4.930 Å, α = 90.00°, β = 95.44° and γ = 90.00°. Symmetry generates all atoms from Li at (0.220, 0.000, 0.273), Cd at (0.500, 0.500, 0.000) and Co at (0.000, 0.500, 0.500).

***

# 2
## KSr (PBE)

Data for KSr after structural relaxation.

The calculation puts the formation energy at 0.114 eV/atom.

It has space group C2/m (No. 12), with a = 16.033 Å, b = 4.335 Å, c = 8.009 Å, α = 90.00°, β = 116.53° and γ = 90.00°. Symmetry generates all atoms from K at (0.124, 0.000, 0.467) and Sr at (0.128, 0.500, 0.972).